The following is a PBE-GGA calculation of a relaxed CsFeCuTeSe2 crystal, from OQMD.

Cell: 8.700 8.700 10.139 Å, 90.00 90.00 155.34°
Fractional coordinates of all 12 atoms:
Cs  0.236  0.764  0.750
Cs  0.764  0.236  0.250
Fe  0.000  0.000  0.000
Fe  0.000  0.000  0.500
Cu  0.458  0.542  0.250
Cu  0.542  0.458  0.750
Te  0.064  0.936  0.250
Te  0.936  0.064  0.750
Se  0.399  0.601  0.038
Se  0.399  0.601  0.462
Se  0.601  0.399  0.538
Se  0.601  0.399  0.962

Calculated values
* magnetization: 6.3 μB/cell
* E_tot: -50.4 eV per cell